1.
The following is a DFT calculation (PBE) of an optimized crystal structure of LiIrS2Cl.

a b c (Å): 4.3808 4.3808 4.2577
angles (deg): 90.00 90.00 90.00
With the nearest neighbours (Å) after each atom.
Atoms (fractional coordinates):
S: 0.0000 0.5000 0.0000  2 Li 2.19
S: 0.5000 0.0000 0.0000  2 Li 2.19
Ir: 0.5000 0.5000 0.5000  8 S 3.05, 4 Cl 3.10
Li: 0.0000 0.0000 0.0000  2 Cl 2.13, 4 S 2.19
Cl: 0.0000 0.0000 0.5000  2 Li 2.13

Computed properties:
Calculated volume in Å³/cell: 81.7
E above lowest polymorph in meV per atom: 968
DOS at the Fermi energy in states/eV per cell: 6.62
E in eV for the cell shown: -16.53
Total magnetic moment in μB per formula unit: 0.0
Formation energy without anion corrections in eV per atom: 0.8690

2.
The following is a DFT calculation (PBE) of an optimized crystal structure of Li2IrSeCl.

a b c (Å): 4.2690 4.7412 4.2690
angles (deg): 90.00 90.00 90.00
With the nearest neighbours (Å) after each atom.
Atoms (fractional coordinates):
Ir: 0.0000 0.5000 0.0000  2 Cl 2.37
Li: 0.0000 0.0000 0.5000  2 Cl 2.13
Li: 0.5000 0.0000 0.0000  2 Cl 2.13
Se: 0.5000 0.5000 0.5000  4 Ir 3.02, 8 Li 3.19
Cl: 0.0000 0.0000 0.0000  4 Li 2.13, 2 Ir 2.37

Computed properties:
Calculated volume in Å³/cell: 86.4
DOS at the Fermi energy in states/eV per cell: 1.65
E in eV for the cell shown: -19.09
Total magnetic moment in μB per formula unit: 0.0
Formation energy without anion corrections in eV per atom: -0.2139

3.
The following is a DFT calculation (PBE) of an optimized crystal structure of LiSn2IrCl.

a b c (Å): 5.1833 3.9261 5.1833
angles (deg): 90.00 90.00 90.00
With the nearest neighbours (Å) after each atom.
Atoms (fractional coordinates):
Ir: 0.5000 0.5000 0.5000  8 Sn 3.25
Li: 0.0000 0.0000 0.0000  2 Cl 1.96
Sn: 0.0000 0.0000 0.5000  2 Li 2.59
Sn: 0.5000 0.0000 0.0000  2 Li 2.59
Cl: 0.0000 0.5000 0.0000  2 Li 1.96

Computed properties:
Calculated volume in Å³/cell: 105.5
DOS at the Fermi energy in states/eV per cell: 3.76
E in eV for the cell shown: -18.11
Total magnetic moment in μB per formula unit: 0.0
Formation energy without anion corrections in eV per atom: 0.5041

4.
The following is a DFT calculation (PBE) of an optimized crystal structure of LiTe2IrCl.

a b c (Å): 5.2953 4.9856 5.2953
angles (deg): 90.00 90.00 90.00
With the nearest neighbours (Å) after each atom.
Atoms (fractional coordinates):
Ir: 0.0000 0.0000 0.0000  2 Cl 2.49, 4 Te 2.65
Te: 0.0000 0.0000 0.5000  2 Ir 2.65
Te: 0.5000 0.0000 0.0000  2 Ir 2.65
Li: 0.5000 0.5000 0.5000  8 Te 3.64, 4 Cl 3.74
Cl: 0.0000 0.5000 0.0000  2 Ir 2.49

Computed properties:
Calculated volume in Å³/cell: 139.8
DOS at the Fermi energy in states/eV per cell: 5.75
E in eV for the cell shown: -18.65
Total magnetic moment in μB per formula unit: 0.0
Formation energy without anion corrections in eV per atom: 0.0505

5.
The following is a DFT calculation (PBE) of an optimized crystal structure of LiTeIr2Cl.

a b c (Å): 4.8880 5.8259 4.8880
angles (deg): 90.00 90.00 90.00
With the nearest neighbours (Å) after each atom.
Atoms (fractional coordinates):
Ir: 0.0000 0.0000 0.5000  2 Te 2.44
Ir: 0.5000 0.0000 0.0000  2 Te 2.44
Te: 0.0000 0.0000 0.0000  4 Ir 2.44
Li: 0.0000 0.5000 0.0000  2 Te 2.91
Cl: 0.5000 0.5000 0.5000  4 Li 3.46, 8 Ir 3.80

Computed properties:
Calculated volume in Å³/cell: 139.2
DOS at the Fermi energy in states/eV per cell: 10.50
E in eV for the cell shown: -19.74
Total magnetic moment in μB per formula unit: 1.7
Formation energy without anion corrections in eV per atom: 0.9772

6.
The following is a DFT calculation (PBE) of an optimized crystal structure of Li2TlIrCl8.

a b c (Å): 6.4726 6.6103 7.5949
angles (deg): 90.04 89.96 106.82
With the nearest neighbours (Å) after each atom.
Atoms (fractional coordinates):
Li: 0.4999 0.5001 0.7503  4 Cl 2.47-2.51
Li: 0.5001 0.4999 0.2497  4 Cl 2.47-2.51
Tl: 0.0000 0.0000 0.5000  6 Cl 2.62-2.70
Ir: 0.0000 0.0000 0.0000  6 Cl 2.35-2.38
Cl: 0.1071 0.8016 0.2191  1 Ir 2.35
Cl: 0.6524 0.7470 0.0001  1 Ir 2.38, 2 Li 2.51
Cl: 0.8929 0.1986 0.2195  1 Ir 2.35
Cl: 0.8929 0.1984 0.7809  1 Ir 2.35
Cl: 0.3476 0.2530 0.9999  1 Ir 2.38, 2 Li 2.51
Cl: 0.1071 0.8014 0.7805  1 Ir 2.35
Cl: 0.6039 0.7477 0.5001  2 Li 2.47, 1 Tl 2.62
Cl: 0.3961 0.2523 0.4999  2 Li 2.47, 1 Tl 2.62

Computed properties:
Calculated volume in Å³/cell: 311.0
E in eV for the cell shown: -41.43
Total magnetic moment in μB per formula unit: 0.0
Formation energy without anion corrections in eV per atom: -0.9670

7.
The following is a DFT calculation (PBE) of an optimized crystal structure of LiTl2IrCl.

a b c (Å): 5.2704 5.2859 5.2704
angles (deg): 90.00 90.00 90.00
With the nearest neighbours (Å) after each atom.
Atoms (fractional coordinates):
Tl: 0.0000 0.0000 0.5000  2 Ir 2.64
Tl: 0.5000 0.0000 0.0000  2 Ir 2.64
Ir: 0.0000 0.0000 0.0000  4 Tl 2.64, 2 Cl 2.64
Li: 0.5000 0.5000 0.5000  4 Cl 3.73, 8 Tl 3.73
Cl: 0.0000 0.5000 0.0000  2 Ir 2.64

Computed properties:
Calculated volume in Å³/cell: 146.8
DOS at the Fermi energy in states/eV per cell: 3.58
E in eV for the cell shown: -16.64
Total magnetic moment in μB per formula unit: 0.0
Formation energy without anion corrections in eV per atom: 0.1433

8.
The following is a DFT calculation (PBE) of an optimized crystal structure of LiTl2IrCl6.

a b c (Å): 7.0313 7.0314 9.9527
angles (deg): 90.00 90.00 90.00
With the nearest neighbours (Å) after each atom.
Atoms (fractional coordinates):
Li: 0.0000 0.7485 0.5000  6 Cl 2.60-2.61
Li: 0.5000 0.2515 0.0000  6 Cl 2.60-2.61
Tl: 0.5000 0.7503 0.2499  12 Cl 3.51-3.52
Tl: 0.0000 0.2497 0.7499  12 Cl 3.51-3.52
Tl: 0.5000 0.7503 0.7501  12 Cl 3.51-3.52
Tl: 0.0000 0.2497 0.2501  12 Cl 3.51-3.52
Ir: 0.5000 0.2497 0.5000  6 Cl 2.37
Ir: 0.0000 0.7503 0.0000  6 Cl 2.37
Cl: 0.5000 0.2495 0.2620  1 Ir 2.37, 1 Li 2.61
Cl: 0.5000 0.2495 0.7380  1 Ir 2.37, 1 Li 2.61
Cl: 0.0000 0.7505 0.2380  1 Ir 2.37, 1 Li 2.61
Cl: 0.0000 0.7505 0.7620  1 Ir 2.37, 1 Li 2.61
Cl: 0.2617 0.0115 0.5000  1 Ir 2.37, 1 Li 2.61
Cl: 0.7383 0.0115 0.5000  1 Ir 2.37, 1 Li 2.61
Cl: 0.2618 0.4880 0.5000  1 Ir 2.37, 1 Li 2.60
Cl: 0.7382 0.4880 0.5000  1 Ir 2.37, 1 Li 2.60
Cl: 0.7618 0.5120 0.0000  1 Ir 2.37, 1 Li 2.60
Cl: 0.2382 0.5120 0.0000  1 Ir 2.37, 1 Li 2.60
Cl: 0.2383 0.9885 0.0000  1 Ir 2.37, 1 Li 2.61
Cl: 0.7617 0.9885 0.0000  1 Ir 2.37, 1 Li 2.61

Computed properties:
Calculated volume in Å³/cell: 492.1
E in eV for the cell shown: -71.73
Total magnetic moment in μB per formula unit: 0.0
Formation energy without anion corrections in eV per atom: -0.9279

Question: Which formula does entry 8 have?
Answer: LiTl2IrCl6